No. 1
The following is a DFT calculation (GGA-PBE) of a geometry-optimized Cd2CF structure.

Cell and atoms, written as extended XYZ:
```
4
Lattice="0.000 3.056 3.056 3.056 0.000 3.056 3.056 3.056 0.000" Properties=species:S:1:pos:R:3 pbc="T T T"
C 0.000 0.000 0.000
Cd 1.528 1.528 1.528
Cd 4.584 4.584 4.584
F 3.056 3.056 3.056
```

Properties
The formation energy (no corrections) comes out at 410 meV per atom. The energy above the most stable polymorph in this dataset comes out at 0.2763 eV/atom. The symmetry is No. 225. The total magnetic moment is 0.958 μB/f.u.

No. 2
The following is a DFT calculation (GGA-PBE) of a geometry-optimized CaSbSe structure.

Cell and atoms, written as extended XYZ:
```
3
Lattice="3.934 0.000 0.000 -1.967 3.407 0.000 0.000 0.000 6.468" Properties=species:S:1:pos:R:3 pbc="T T T"
Se 0.000 2.271 4.454
Sb 1.967 1.136 2.280
Ca 0.000 0.000 6.201
```

Properties
The formation energy (no corrections) comes out at -513 meV per atom. The symmetry is No. 156. The total magnetic moment is 0.001 μB/f.u.

No. 3
The following is a DFT calculation (GGA-PBE) of a geometry-optimized Ca4GaPd structure.

Cell and atoms, written as extended XYZ:
```
12
Lattice="-0.776 -6.006 1.593 -0.827 -0.249 -8.325 7.682 2.066 2.714" Properties=species:S:1:pos:R:3 pbc="T T T"
Ga 4.826 -2.276 -0.077
Ga 1.253 -1.913 -3.940
Pd -0.549 -4.510 1.192
Pd 6.628 0.320 -5.209
Ca 3.765 -3.552 -2.806
Ca 2.192 -3.121 1.544
Ca 5.913 -0.459 -2.386
Ca 6.501 1.606 0.451
Ca 3.888 -1.068 -5.562
Ca 2.314 -0.637 -1.211
Ca -0.421 -5.795 -4.468
Ca 0.166 -3.731 -1.631
```

Properties
The value obtained for the formation energy is -419 meV/atom. The symmetry is No. 15. The total magnetic moment is 0.000 μB/f.u.

No. 4
The following is a DFT calculation (GGA-PBE) of a geometry-optimized NiB3Os structure.

Cell and atoms, written as extended XYZ:
```
5
Lattice="-0.329 -3.424 1.346 3.669 -0.406 -0.135 0.273 1.325 3.437" Properties=species:S:1:pos:R:3 pbc="T T T"
B 0.137 0.662 1.719
B -0.164 -1.712 0.673
B 1.834 -0.203 -0.068
Ni 0.000 0.000 0.000
Os 1.807 -1.253 2.324
```

Properties
The energy above the most stable polymorph in this dataset comes out at 0.2243 eV/atom. The value obtained for the formation energy is 1372 meV/atom. The symmetry is No. 221. The total magnetic moment is 0.000 μB/f.u.

No. 5
The following is a DFT calculation (GGA-PBE) of a geometry-optimized CdHg3As structure.

Cell and atoms, written as extended XYZ:
```
5
Lattice="5.564 0.000 0.000 0.000 5.564 0.000 0.000 0.000 5.564" Properties=species:S:1:pos:R:3 pbc="T T T"
As 2.782 2.782 2.782
Hg 0.000 0.000 2.782
Hg 0.000 2.782 0.000
Hg 2.782 0.000 0.000
Cd 0.000 0.000 0.000
```

Properties
The energy above the most stable polymorph in this dataset comes out at 0.3444 eV/atom. The value obtained for the formation energy is 560 meV/atom. The symmetry is No. 221. The total magnetic moment is 2.014 μB/f.u.

No. 6
The following is a DFT calculation (GGA-PBE) of a geometry-optimized LiLaBr2 structure.

Cell and atoms, written as extended XYZ:
```
4
Lattice="-3.347 -1.934 -0.774 3.327 -0.465 -2.064 2.459 -6.422 5.413" Properties=species:S:1:pos:R:3 pbc="T T T"
Li 1.834 -6.016 2.640
Br 2.355 -6.149 5.183
Br 1.334 -3.484 2.936
La 0.605 -2.805 -0.066
```

Properties
The formation energy (no corrections) comes out at -1259 meV per atom. The energy above the most stable polymorph in this dataset comes out at 0.1395 eV/atom. The symmetry is No. 65. The total magnetic moment is 0.002 μB/f.u.

No. 7
The following is a DFT calculation (GGA-PBE) of a geometry-optimized BeNb2V4 structure.

Cell and atoms, written as extended XYZ:
```
7
Lattice="4.159 0.000 0.000 0.000 4.159 0.000 2.080 2.080 6.350" Properties=species:S:1:pos:R:3 pbc="T T T"
Be 0.000 0.000 0.000
V 4.159 4.159 2.199
V 0.000 2.080 0.000
V 2.080 0.000 0.000
V 2.080 2.080 4.151
Nb 2.080 2.080 1.630
Nb 4.159 4.159 4.719
```

Properties
The value obtained for the formation energy is 750 meV/atom. The symmetry is No. 139. The total magnetic moment is 0.000 μB/f.u.

No. 8
The following is a DFT calculation (GGA-PBE) of a geometry-optimized SrCa6Mg structure.

Cell and atoms, written as extended XYZ:
```
8
Lattice="7.585 0.018 -0.886 -2.805 7.048 -0.886 -1.854 -2.740 6.900" Properties=species:S:1:pos:R:3 pbc="T T T"
Ca 3.051 4.509 0.577
Ca 3.503 -0.091 4.236
Ca -0.124 -0.183 4.551
Ca -1.388 3.217 4.236
Ca -0.576 4.417 0.892
Ca 4.315 1.109 0.892
Mg 1.463 2.163 2.564
Sr 0.000 0.000 0.000
```

Properties
The energy above the most stable polymorph in this dataset comes out at 0.0468 eV/atom. The value obtained for the formation energy is 70 meV/atom. The symmetry is No. 12. The total magnetic moment is 0.000 μB/f.u.

No. 9
The following is a DFT calculation (GGA-PBE) of a geometry-optimized Ce2Ti2O7 structure.

Cell and atoms, written as extended XYZ:
```
22
Lattice="7.334 0.000 0.000 3.667 6.351 0.000 3.667 2.117 5.988" Properties=species:S:1:pos:R:3 pbc="T T T"
O 9.513 7.210 3.276
O 0.000 0.000 0.000
O 3.667 2.117 1.497
O 7.334 2.516 1.779
O 12.489 7.210 3.276
O 5.846 3.375 4.209
O 11.001 4.633 3.276
O 9.513 5.492 5.706
O 11.001 8.069 5.706
O 5.846 5.093 1.779
O 12.489 5.492 5.706
O 8.822 3.375 4.209
O 7.334 5.952 4.209
O 8.822 5.093 1.779
Ti 7.334 2.117 3.742
Ti 9.167 5.293 3.742
Ti 5.500 5.293 3.742
Ti 7.334 4.234 0.748
Ce 3.667 4.234 0.748
Ce 5.500 1.059 0.748
Ce 1.833 1.059 0.748
Ce 3.667 2.117 3.742
```

Properties
The formation energy (no corrections) comes out at -3229 meV per atom. The symmetry is No. 227. The total magnetic moment is 2.081 μB/f.u.

No. 10
The following is a DFT calculation (GGA-PBE) of a geometry-optimized ZrHg2GeBr structure.

Cell and atoms, written as extended XYZ:
```
5
Lattice="-1.824 4.869 1.550 -4.829 -1.797 -0.035 0.508 -1.465 5.200" Properties=species:S:1:pos:R:3 pbc="T T T"
Zr -3.072 0.804 3.358
Ge -2.414 -0.899 -0.017
Hg 0.254 -0.732 2.600
Hg -0.912 2.435 0.775
Br 0.000 0.000 0.000
```

Properties
The formation energy (no corrections) comes out at 1016 meV per atom. The symmetry is No. 123. The total magnetic moment is 1.410 μB/f.u.

No. 11
The following is a DFT calculation (GGA-PBE) of a geometry-optimized Cd3Ag2Sn structure.

Cell and atoms, written as extended XYZ:
```
12
Lattice="6.095 -0.376 0.641 -1.105 6.006 0.641 -0.161 -0.182 7.477" Properties=species:S:1:pos:R:3 pbc="T T T"
Cd 1.823 1.215 7.571
Cd 3.860 1.524 2.511
Cd 3.761 3.401 4.927
Cd 3.006 4.233 1.189
Cd 0.969 3.924 6.249
Cd 1.068 2.047 3.833
Sn -1.099 5.920 2.511
Sn 5.928 -0.472 6.249
Ag 0.182 3.460 1.459
Ag 4.647 1.988 7.301
Ag 3.332 0.505 5.198
Ag 1.497 4.943 3.562
```

Properties
The energy above the most stable polymorph in this dataset comes out at 0.0435 eV/atom. The value obtained for the formation energy is 54 meV/atom. The symmetry is No. 15. The total magnetic moment is 0.000 μB/f.u.

No. 12
The following is a DFT calculation (GGA-PBE) of a geometry-optimized CaCuSiPb2 structure.

Cell and atoms, written as extended XYZ:
```
5
Lattice="5.115 0.000 0.000 0.000 5.364 0.000 0.000 0.000 5.115" Properties=species:S:1:pos:R:3 pbc="T T T"
Si 2.558 2.682 2.558
Pb 0.000 0.000 2.558
Pb 2.558 0.000 0.000
Ca 0.000 2.682 0.000
Cu 0.000 0.000 0.000
```

Properties
The formation energy (no corrections) comes out at 346 meV per atom. The symmetry is No. 123. The total magnetic moment is 0.000 μB/f.u.